[1]
Na2TcF: optimized geometry, PBEsol.

a b c (Å): 6.0650 6.0650 6.0650
angles (deg): 112.64 112.64 103.30
Positions (direct):
Na  0.0086  0.1250  0.3836
Na  0.3750  0.9914  0.1164
Na  0.7414  0.6250  0.6164
Na  0.8750  0.2586  0.8836
Tc  0.2500  0.7500  0.5000
Tc  0.5000  0.5000  0.0000
F  0.0000  0.0000  0.0000
F  0.7500  0.2500  0.5000

Properties
DFT total energy, eV per formula unit: -15.55
Formation energy without anion corrections, eV/atom: 0.1097
D(E_F), states/eV per cell: 10.2
Crystal system: tetragonal

---

[2]
Ti3FeCu2P6O24: optimized geometry, PBEsol.

a b c (Å): 8.4668 8.4668 8.4668
angles (deg): 60.76 60.76 60.76
Positions (direct):
Ti  0.0000  0.0000  0.0000
Ti  0.2163  0.2163  0.2163
Ti  0.5006  0.5006  0.5006
Fe  0.7163  0.7163  0.7163
Cu  0.3578  0.3578  0.3578
Cu  0.8568  0.8568  0.8568
P  0.1083  0.8160  0.4016
P  0.3168  0.6104  0.9009
P  0.4016  0.1083  0.8160
P  0.6104  0.9009  0.3168
P  0.8160  0.4016  0.1083
P  0.9009  0.3168  0.6104
O  0.0453  0.8605  0.2371
O  0.0970  0.2941  0.4473
O  0.1205  0.7737  0.9120
O  0.1824  0.9753  0.3480
O  0.2371  0.0453  0.8605
O  0.2710  0.6198  0.4162
O  0.2941  0.4473  0.0970
O  0.3480  0.1824  0.9753
O  0.3629  0.5449  0.7373
O  0.4162  0.2710  0.6198
O  0.4473  0.0970  0.2941
O  0.4749  0.6723  0.8647
O  0.5449  0.7373  0.3629
O  0.5941  0.9463  0.8102
O  0.6198  0.4162  0.2710
O  0.6723  0.8647  0.4749
O  0.7373  0.3629  0.5449
O  0.7737  0.9120  0.1205
O  0.8102  0.5941  0.9463
O  0.8605  0.2371  0.0453
O  0.8647  0.4749  0.6723
O  0.9120  0.1205  0.7737
O  0.9463  0.8102  0.5941
O  0.9753  0.3480  0.1824

Properties
DFT total energy, eV per formula unit: -282.32
Formation energy without anion corrections, eV/atom: -2.1942
D(E_F), states/eV per cell: 15.0
Crystal system: trigonal